[1]
VASP calculation (PBE-GGA) on a relaxed KLi2Cr crystal.

Cell lengths 3.361, 4.000, 8.314 Å; angles 90.00, 90.00, 90.00 degrees
Space group Pmmm (No. 47)
Unique sites:
K  0.000  0.000  0.000 x1
Li  0.500  0.500  0.334 x2
Cr  0.000  0.000  0.500 x1

Total energy   -3.098 eV per atom
Formation enthalpy at 0 K   2.16 eV/f.u.
Excess energy over the best structure of this formula in the dataset   0.000 eV per atom


[2]
VASP calculation (PBE-GGA) on a relaxed K2LiCr crystal.

Cell lengths 13.831, 3.566, 6.602 Å; angles 90.00, 108.36, 90.00 degrees
Space group Cm (No. 8)
Unique sites:
K  0.000  0.000  0.000 x2
K  0.199  0.000  0.632 x2
Li  0.281  0.500  0.202 x2
Cr  0.438  0.000  0.460 x2

Total energy   -2.793 eV per atom
Formation enthalpy at 0 K   2.56 eV/f.u.
Excess energy over the best structure of this formula in the dataset   0.048 eV per atom


[3]
VASP calculation (PBE-GGA) on a relaxed KLi2Cr crystal.

Cell lengths 7.245, 8.793, 3.305 Å; angles 90.00, 90.00, 90.00 degrees
Space group Cmmm (No. 65)
Unique sites:
K  0.000  0.000  0.000 x2
Li  0.250  0.250  0.500 x4
Cr  0.000  0.500  0.000 x2

Total energy   -2.986 eV per atom
Formation enthalpy at 0 K   2.60 eV/f.u.
Excess energy over the best structure of this formula in the dataset   0.112 eV per atom


[4]
VASP calculation (PBE-GGA) on a relaxed KLiCr crystal.

Cell lengths 5.5922, 5.5922, 3.2550 Å; angles 90.00, 90.00, 120.00 degrees
Space group P3m1 (No. 156)
Unique sites:
K  0.0000  0.0000  0.0000 x1
Li  0.6667  0.3333  0.2589 x1
Cr  0.3333  0.6667  0.5897 x1

Total energy   -3.380 eV per atom
Formation enthalpy at 0 K   2.50 eV/f.u.
Excess energy over the best structure of this formula in the dataset   0.086 eV per atom


[5]
VASP calculation (PBE-GGA) on a relaxed KLi2Cr crystal.

Cell lengths 9.729, 3.251, 7.153 Å; angles 90.00, 95.48, 90.00 degrees
Space group C2/m (No. 12)
Unique sites:
K  0.000  0.000  0.000 x2
Li  0.235  0.000  0.660 x4
Cr  0.000  0.500  0.500 x2

Total energy   -3.071 eV per atom
Formation enthalpy at 0 K   2.27 eV/f.u.
Excess energy over the best structure of this formula in the dataset   0.027 eV per atom


[6]
VASP calculation (PBE-GGA) on a relaxed K2LiCr crystal.

Cell lengths 7.769, 10.751, 3.729 Å; angles 90.00, 90.31, 90.00 degrees
Space group C2/m (No. 12)
Unique sites:
K  0.250  0.250  0.000 x4
Li  0.000  0.000  0.500 x2
Cr  0.000  0.500  0.500 x2

Total energy   -2.712 eV per atom
Formation enthalpy at 0 K   2.88 eV/f.u.
Excess energy over the best structure of this formula in the dataset   0.129 eV per atom


[7]
VASP calculation (PBE-GGA) on a relaxed K2LiCr crystal.

Cell lengths 8.638, 8.638, 8.638 Å; angles 90.00, 90.00, 90.00 degrees
Space group Fm-3m (No. 225)
Unique sites:
K  0.250  0.250  0.250 x8
Li  0.000  0.000  0.000 x4
Cr  0.000  0.000  0.500 x4

Total energy   -2.723 eV per atom
Formation enthalpy at 0 K   2.84 eV/f.u.
Excess energy over the best structure of this formula in the dataset   0.118 eV per atom


[8]
VASP calculation (PBE-GGA) on a relaxed KLi2Cr crystal.

Cell lengths 3.325, 6.086, 11.408 Å; angles 90.00, 90.00, 90.00 degrees
Space group Immm (No. 71)
Unique sites:
K  0.000  0.000  0.000 x2
Li  0.000  0.500  0.210 x4
Cr  0.000  0.000  0.500 x2

Total energy   -3.022 eV per atom
Formation enthalpy at 0 K   2.46 eV/f.u.
Excess energy over the best structure of this formula in the dataset   0.076 eV per atom


Among the records above, which one has the lowest excess energy over the best structure of this formula in the dataset? number 1


What is the formula in the eighth record? KLi2Cr


Which of these has the highest formation enthalpy at 0 K? number 6